Entry 1:
# YFeCoAs GGA-PBE relaxed
data_YFeCoAs
_chemical_formula_sum 'Y4 Fe4 Co4 As4'
_cell_length_a 6.437
_cell_length_b 6.437
_cell_length_c 6.437
_cell_angle_alpha 90.00
_cell_angle_beta 90.00
_cell_angle_gamma 90.00
_space_group_name_H-M_alt 'F -4 3 m'
_space_group_IT_number 216
_space_group_name_Hall 'F -4 2 3'
loop_
_atom_site_label
_atom_site_type_symbol
_atom_site_fract_x
_atom_site_fract_y
_atom_site_fract_z
Y1 Y 0.000 0.000 0.000
Fe1 Fe 0.000 0.000 0.500
Co1 Co 0.250 0.250 0.750
As1 As 0.250 0.250 0.250
# * energy: -6.6520 eV/atom
# * energy above the most stable polymorph in this dataset: 0.0439 eV/atom

---

Entry 2:
# ZrFeCoAs GGA-PBE relaxed
data_ZrFeCoAs
_chemical_formula_sum 'Zr4 Fe4 Co4 As4'
_cell_length_a 6.056
_cell_length_b 6.056
_cell_length_c 6.056
_cell_angle_alpha 90.00
_cell_angle_beta 90.00
_cell_angle_gamma 90.00
_space_group_name_H-M_alt 'F -4 3 m'
_space_group_IT_number 216
_space_group_name_Hall 'F -4 2 3'
loop_
_atom_site_label
_atom_site_type_symbol
_atom_site_fract_x
_atom_site_fract_y
_atom_site_fract_z
Zr1 Zr 0.000 0.000 0.000
Fe1 Fe 0.250 0.250 0.250
Co1 Co 0.250 0.250 0.750
As1 As 0.000 0.000 0.500
# * energy: -7.4080 eV/atom
# * energy above the most stable polymorph in this dataset: 0.0000 eV/atom

---

Entry 3:
# ZrFeCoAs GGA-PBE relaxed
data_ZrFeCoAs
_chemical_formula_sum 'Zr4 Fe4 Co4 As4'
_cell_length_a 6.199
_cell_length_b 6.199
_cell_length_c 6.199
_cell_angle_alpha 90.00
_cell_angle_beta 90.00
_cell_angle_gamma 90.00
_space_group_name_H-M_alt 'F -4 3 m'
_space_group_IT_number 216
_space_group_name_Hall 'F -4 2 3'
loop_
_atom_site_label
_atom_site_type_symbol
_atom_site_fract_x
_atom_site_fract_y
_atom_site_fract_z
Zr1 Zr 0.000 0.000 0.000
Fe1 Fe 0.250 0.250 0.750
Co1 Co 0.000 0.000 0.500
As1 As 0.250 0.250 0.250
# * energy: -7.2394 eV/atom
# * energy above the most stable polymorph in this dataset: 0.1686 eV/atom

---

Entry 4:
# ZrFeCoAs GGA-PBE relaxed
data_ZrFeCoAs
_chemical_formula_sum 'Zr4 Fe4 Co4 As4'
_cell_length_a 6.220
_cell_length_b 6.220
_cell_length_c 6.220
_cell_angle_alpha 90.00
_cell_angle_beta 90.00
_cell_angle_gamma 90.00
_space_group_name_H-M_alt 'F -4 3 m'
_space_group_IT_number 216
_space_group_name_Hall 'F -4 2 3'
loop_
_atom_site_label
_atom_site_type_symbol
_atom_site_fract_x
_atom_site_fract_y
_atom_site_fract_z
Zr1 Zr 0.000 0.000 0.000
Fe1 Fe 0.000 0.000 0.500
Co1 Co 0.250 0.250 0.750
As1 As 0.250 0.250 0.250
# * energy: -7.2410 eV/atom
# * energy above the most stable polymorph in this dataset: 0.1670 eV/atom

---

Entry 5:
# GaCoAs GGA-PBE relaxed
data_GaCoAs
_chemical_formula_sum 'Ga4 Co4 As4'
_cell_length_a 5.671
_cell_length_b 5.671
_cell_length_c 5.671
_cell_angle_alpha 90.00
_cell_angle_beta 90.00
_cell_angle_gamma 90.00
_space_group_name_H-M_alt 'F -4 3 m'
_space_group_IT_number 216
_space_group_name_Hall 'F -4 2 3'
loop_
_atom_site_label
_atom_site_type_symbol
_atom_site_fract_x
_atom_site_fract_y
_atom_site_fract_z
Ga1 Ga 0.000 0.000 0.000
Co1 Co 0.250 0.250 0.750
As1 As 0.000 0.000 0.500
# * energy: -5.1358 eV/atom
# * energy above the most stable polymorph in this dataset: 0.0000 eV/atom

---

Entry 6:
# GaCoAs GGA-PBE relaxed
data_GaCoAs
_chemical_formula_sum 'Ga4 Co4 As4'
_cell_length_a 5.817
_cell_length_b 5.817
_cell_length_c 5.817
_cell_angle_alpha 90.00
_cell_angle_beta 90.00
_cell_angle_gamma 90.00
_space_group_name_H-M_alt 'F -4 3 m'
_space_group_IT_number 216
_space_group_name_Hall 'F -4 2 3'
loop_
_atom_site_label
_atom_site_type_symbol
_atom_site_fract_x
_atom_site_fract_y
_atom_site_fract_z
Ga1 Ga 0.000 0.000 0.000
Co1 Co 0.000 0.000 0.500
As1 As 0.250 0.250 0.750
# * energy: -4.6237 eV/atom
# * energy above the most stable polymorph in this dataset: 0.5120 eV/atom